# BaLa2Cd2In2, optimized geometry, DFT PBE-GGA
data_BaLa2Cd2In2
_chemical_formula_sum 'Ba1 La2 Cd2 In2'
_cell_length_a 10.624
_cell_length_b 10.624
_cell_length_c 10.624
_cell_angle_alpha 27.46
_cell_angle_beta 27.46
_cell_angle_gamma 27.46
_symmetry_space_group_name_H-M 'P 1'
_symmetry_Int_Tables_number 1
loop_
_symmetry_equiv_pos_as_xyz
'x,y,z'
loop_
_atom_site_label
_atom_site_type_symbol
_atom_site_fract_x
_atom_site_fract_y
_atom_site_fract_z
Ba1 Ba 0.000 0.000 0.000
La1 La 0.139 0.139 0.139
La2 La 0.861 0.861 0.861
Cd1 Cd 0.424 0.424 0.424
Cd2 Cd 0.576 0.576 0.576
In1 In 0.255 0.255 0.255
In2 In 0.745 0.745 0.745
# symmetry	No. 166
# M_tot	0.00	μB/f.u.
# V	225.05	Å³ per cell

# BaLaCdIn, optimized geometry, DFT PBE-GGA
data_BaLaCdIn
_chemical_formula_sum 'Ba4 La4 Cd4 In4'
_cell_length_a 8.201
_cell_length_b 8.201
_cell_length_c 8.201
_cell_angle_alpha 90.00
_cell_angle_beta 90.00
_cell_angle_gamma 90.00
_symmetry_space_group_name_H-M 'P 1'
_symmetry_Int_Tables_number 1
loop_
_symmetry_equiv_pos_as_xyz
'x,y,z'
loop_
_atom_site_label
_atom_site_type_symbol
_atom_site_fract_x
_atom_site_fract_y
_atom_site_fract_z
Ba1 Ba 0.000 0.000 0.000
Ba2 Ba 0.000 0.500 0.500
Ba3 Ba 0.500 0.000 0.500
Ba4 Ba 0.500 0.500 0.000
La1 La 0.000 0.000 0.500
La2 La 0.000 0.500 0.000
La3 La 0.500 0.000 0.000
La4 La 0.500 0.500 0.500
Cd1 Cd 0.250 0.250 0.250
Cd2 Cd 0.250 0.750 0.750
Cd3 Cd 0.750 0.250 0.750
Cd4 Cd 0.750 0.750 0.250
In1 In 0.250 0.250 0.750
In2 In 0.250 0.750 0.250
In3 In 0.750 0.250 0.250
In4 In 0.750 0.750 0.750
# symmetry	No. 216
# M_tot	0.00	μB/f.u.
# V	551.56	Å³ per cell

# Ba2LiCdIn6, optimized geometry, DFT PBE-GGA
data_Ba2LiCdIn6
_chemical_formula_sum 'Ba2 Li1 Cd1 In6'
_cell_length_a 7.757
_cell_length_b 7.757
_cell_length_c 10.059
_cell_angle_alpha 129.75
_cell_angle_beta 129.75
_cell_angle_gamma 46.88
_symmetry_space_group_name_H-M 'P 1'
_symmetry_Int_Tables_number 1
loop_
_symmetry_equiv_pos_as_xyz
'x,y,z'
loop_
_atom_site_label
_atom_site_type_symbol
_atom_site_fract_x
_atom_site_fract_y
_atom_site_fract_z
Ba1 Ba 0.031 0.031 0.275
Ba2 Ba 0.969 0.969 0.725
Li1 Li 0.500 0.500 0.500
Cd1 Cd 0.500 0.500 0.000
In1 In 0.008 0.511 0.265
In2 In 0.336 0.336 0.089
In3 In 0.489 0.992 0.735
In4 In 0.511 0.008 0.265
In5 In 0.664 0.664 0.911
In6 In 0.992 0.489 0.735
# symmetry	No. 12
# M_tot	0.00	μB/f.u.
# V	316.80	Å³ per cell

# BaLiCd2In2, optimized geometry, DFT PBE-GGA
data_BaLiCd2In2
_chemical_formula_sum 'Ba1 Li1 Cd2 In2'
_cell_length_a 4.949
_cell_length_b 4.949
_cell_length_c 8.076
_cell_angle_alpha 90.00
_cell_angle_beta 90.00
_cell_angle_gamma 120.00
_symmetry_space_group_name_H-M 'P 1'
_symmetry_Int_Tables_number 1
loop_
_symmetry_equiv_pos_as_xyz
'x,y,z'
loop_
_atom_site_label
_atom_site_type_symbol
_atom_site_fract_x
_atom_site_fract_y
_atom_site_fract_z
Ba1 Ba 0.000 0.000 0.000
Li1 Li 0.000 0.000 0.500
Cd1 Cd 0.333 0.667 0.682
Cd2 Cd 0.667 0.333 0.318
In1 In 0.333 0.667 0.299
In2 In 0.667 0.333 0.701
# symmetry	No. 164
# M_tot	0.00	μB/f.u.
# V	171.34	Å³ per cell

# Ba2LiCd4In3, optimized geometry, DFT PBE-GGA
data_Ba2LiCd4In3
_chemical_formula_sum 'Ba2 Li1 Cd4 In3'
_cell_length_a 5.025
_cell_length_b 5.025
_cell_length_c 11.648
_cell_angle_alpha 90.00
_cell_angle_beta 90.00
_cell_angle_gamma 90.00
_symmetry_space_group_name_H-M 'P 1'
_symmetry_Int_Tables_number 1
loop_
_symmetry_equiv_pos_as_xyz
'x,y,z'
loop_
_atom_site_label
_atom_site_type_symbol
_atom_site_fract_x
_atom_site_fract_y
_atom_site_fract_z
Ba1 Ba 0.000 0.500 0.247
Ba2 Ba 0.500 0.000 0.753
Li1 Li 0.000 0.000 0.500
Cd1 Cd 0.000 0.000 0.000
Cd2 Cd 0.000 0.500 0.618
Cd3 Cd 0.500 0.000 0.382
Cd4 Cd 0.500 0.500 0.000
In1 In 0.000 0.500 0.863
In2 In 0.500 0.000 0.137
In3 In 0.500 0.500 0.500
# symmetry	No. 115
# M_tot	0.00	μB/f.u.
# V	294.15	Å³ per cell

# Ba2LiCd6In, optimized geometry, DFT PBE-GGA
data_Ba2LiCd6In
_chemical_formula_sum 'Ba2 Li1 Cd6 In1'
_cell_length_a 7.185
_cell_length_b 7.200
_cell_length_c 7.747
_cell_angle_alpha 62.51
_cell_angle_beta 62.50
_cell_angle_gamma 60.15
_symmetry_space_group_name_H-M 'P 1'
_symmetry_Int_Tables_number 1
loop_
_symmetry_equiv_pos_as_xyz
'x,y,z'
loop_
_atom_site_label
_atom_site_type_symbol
_atom_site_fract_x
_atom_site_fract_y
_atom_site_fract_z
Ba1 Ba 0.212 0.212 0.366
Ba2 Ba 0.788 0.788 0.634
Li1 Li 0.000 0.000 0.000
Cd1 Cd 0.235 0.668 0.855
Cd2 Cd 0.243 0.235 0.854
Cd3 Cd 0.333 0.759 0.145
Cd4 Cd 0.667 0.241 0.855
Cd5 Cd 0.757 0.765 0.146
Cd6 Cd 0.765 0.332 0.145
In1 In 0.500 0.500 0.500
# symmetry	No. 2
# M_tot	0.00	μB/f.u.
# V	293.98	Å³ per cell

no.,Fermi-level density of states (states/eV/atom),E_tot (eV/atom)
1,0.32,-3.078
2,0.95,-2.956
3,0.47,-2.577
4,0.44,-2.165
5,0.57,-2.077
6,0.44,-1.616